Record 1
# GGA-PBE PmSi2Pt, optimized geometry
# calculated total energy: -23.09 eV/f.u.
# distance to the lowest polymorph of the same formula: 652 meV/atom
# formation energy from raw total energies: -1.4 eV/f.u.
# crystal system: trigonal
data_PmSi2Pt
_cell_length_a 5.0057
_cell_length_b 5.0057
_cell_length_c 10.5569
_cell_angle_alpha 90.00
_cell_angle_beta 90.00
_cell_angle_gamma 120.00
_symmetry_space_group_name_H-M 'R -3 m'
_symmetry_Int_Tables_number 166
_symmetry_space_group_name_Hall '-R 3 2"'
loop_
_atom_site_label
_atom_site_type_symbol
_atom_site_fract_x
_atom_site_fract_y
_atom_site_fract_z
_atom_site_occupancy
Pm1 Pm 0.0000 0.0000 0.0000 1
Si1 Si 0.0000 0.0000 0.2695 1
Pt1 Pt 0.0000 0.0000 0.5000 1



Record 2
# GGA-PBE PdN2F, optimized geometry
# calculated total energy: -19.67 eV/f.u.
# distance to the lowest polymorph of the same formula: 0 meV/atom
# formation energy from raw total energies: 4.0 eV/f.u.
# crystal system: trigonal
data_PdN2F
_cell_length_a 3.2570
_cell_length_b 3.2570
_cell_length_c 15.7229
_cell_angle_alpha 90.00
_cell_angle_beta 90.00
_cell_angle_gamma 120.00
_symmetry_space_group_name_H-M 'R -3 m'
_symmetry_Int_Tables_number 166
_symmetry_space_group_name_Hall '-R 3 2"'
loop_
_atom_site_label
_atom_site_type_symbol
_atom_site_fract_x
_atom_site_fract_y
_atom_site_fract_z
_atom_site_occupancy
Pd1 Pd 0.0000 0.0000 0.0000 1
N1 N 0.0000 0.0000 0.3884 1
F1 F 0.0000 0.0000 0.5000 1



Record 3
# GGA-PBE CeThInAu, optimized geometry
# calculated total energy: -20.78 eV/f.u.
# formation energy from the elements: -136 kJ/mol of formula units
# distance to the lowest polymorph of the same formula: 102 meV/atom
# crystal system: cubic
data_CeThInAu
_cell_length_a 7.6031
_cell_length_b 7.6031
_cell_length_c 7.6031
_cell_angle_alpha 90.00
_cell_angle_beta 90.00
_cell_angle_gamma 90.00
_symmetry_space_group_name_H-M 'F -4 3 m'
_symmetry_Int_Tables_number 216
_symmetry_space_group_name_Hall 'F -4 2 3'
loop_
_atom_site_label
_atom_site_type_symbol
_atom_site_fract_x
_atom_site_fract_y
_atom_site_fract_z
_atom_site_occupancy
Ce1 Ce 0.0000 0.0000 0.0000 1
Th1 Th 0.0000 0.0000 0.5000 1
In1 In 0.2500 0.2500 0.7500 1
Au1 Au 0.2500 0.2500 0.2500 1



Record 4
# GGA-PBE La6PrHo2, optimized geometry
# calculated total energy: -43.00 eV/f.u.
# formation energy from the elements: 48 kJ/mol of formula units
# distance to the lowest polymorph of the same formula: 0 meV/atom
# crystal system: hexagonal
data_La6PrHo2
_cell_length_a 3.6746
_cell_length_b 3.6746
_cell_length_c 27.7060
_cell_angle_alpha 90.00
_cell_angle_beta 90.00
_cell_angle_gamma 120.00
_symmetry_space_group_name_H-M 'P -6 m 2'
_symmetry_Int_Tables_number 187
_symmetry_space_group_name_Hall 'P -6 2'
loop_
_atom_site_label
_atom_site_type_symbol
_atom_site_fract_x
_atom_site_fract_y
_atom_site_fract_z
_atom_site_occupancy
La1 La 0.0000 0.0000 0.0662 1
La2 La 0.0000 0.0000 0.2751 1
La3 La 0.3333 0.6667 0.3886 1
Pr1 Pr 0.0000 0.0000 0.5000 1
Ho1 Ho 0.3333 0.6667 0.1691 1